Below is an optimized crystal structure of Na2USnCl8, with properties calculated at the GGA-PBE level.

Geometry as CIF:
```
data_Na2USnCl8
_chemical_formula_sum 'Na2 U1 Sn1 Cl8'
_symmetry_space_group_name_H-M 'P 1 2/m 1'
_symmetry_Int_Tables_number 10
_cell_length_a 6.506
_cell_length_b 8.590
_cell_length_c 6.661
_cell_angle_alpha 90.00
_cell_angle_beta 93.39
_cell_angle_gamma 90.00
loop_
_symmetry_equiv_pos_as_xyz
'x,y,z'
'-x,-y,-z'
'-x,y,-z'
'x,-y,z'
loop_
_atom_site_label
_atom_site_fract_x
_atom_site_fract_y
_atom_site_fract_z
Na1 0.000 0.239 0.000
U1 0.500 0.500 0.500
Sn1 0.500 0.000 0.500
Cl1 0.213 0.000 0.185
Cl2 0.224 0.500 0.195
Cl3 0.298 0.274 0.671
```

calculated total energy: -4.28 eV per atom
energy relative to the elements, uncorrected: -150.1 kJ/mol of atoms

Below is an optimized crystal structure of LaTbZnSn, with properties calculated at the GGA-PBE level.

Geometry as CIF:
```
data_LaTbZnSn
_chemical_formula_sum 'La4 Tb4 Zn4 Sn4'
_symmetry_space_group_name_H-M 'F -4 3 m'
_symmetry_Int_Tables_number 216
_symmetry_space_group_name_Hall 'F -4 2 3'
_cell_length_a 7.550
_cell_length_b 7.550
_cell_length_c 7.550
_cell_angle_alpha 90.00
_cell_angle_beta 90.00
_cell_angle_gamma 90.00
loop_
_atom_site_label
_atom_site_fract_x
_atom_site_fract_y
_atom_site_fract_z
La1 0.000 0.000 0.000
Tb1 0.000 0.000 0.500
Zn1 0.250 0.250 0.250
Sn1 0.250 0.250 0.750
```

formation enthalpy at 0 K: -0.53 eV/atom
calculated total energy: -4.23 eV per atom

Below is an optimized crystal structure of SrTeSe2, with properties calculated at the GGA-PBE level.

Geometry as CIF:
```
data_SrTeSe2
_chemical_formula_sum 'Sr2 Te2 Se4'
_symmetry_space_group_name_H-M 'P 1'
_symmetry_Int_Tables_number 1
_cell_length_a 5.995
_cell_length_b 6.367
_cell_length_c 6.372
_cell_angle_alpha 92.16
_cell_angle_beta 96.59
_cell_angle_gamma 96.49
loop_
_symmetry_equiv_pos_as_xyz
'x,y,z'
loop_
_atom_site_label
_atom_site_fract_x
_atom_site_fract_y
_atom_site_fract_z
Sr1 0.000 0.000 0.000
Sr2 0.030 0.522 0.556
Te1 0.481 0.022 0.414
Te2 0.487 0.519 0.114
Se1 0.468 0.830 0.853
Se2 0.512 0.387 0.611
Se3 0.961 0.006 0.485
Se4 0.984 0.496 0.064
```

calculated total energy: -3.88 eV per atom
energy relative to the elements, uncorrected: -89.6 kJ/mol of atoms

Below is an optimized crystal structure of Mn3BTe, with properties calculated at the GGA-PBE level.

Geometry as CIF:
```
data_Mn3BTe
_chemical_formula_sum 'Mn3 B1 Te1'
_symmetry_space_group_name_H-M 'P m -3 m'
_symmetry_Int_Tables_number 221
_symmetry_space_group_name_Hall '-P 4 2 3'
_cell_length_a 4.581
_cell_length_b 4.581
_cell_length_c 4.581
_cell_angle_alpha 90.00
_cell_angle_beta 90.00
_cell_angle_gamma 90.00
loop_
_atom_site_label
_atom_site_fract_x
_atom_site_fract_y
_atom_site_fract_z
Mn1 0.000 0.000 0.500
B1 0.500 0.500 0.500
Te1 0.000 0.000 0.000
```

energy relative to the lowest polymorph listed for this composition: 2359.6 meV/atom
calculated total energy: -4.87 eV per atom
energy relative to the elements, uncorrected: 250.9 kJ/mol of atoms

Below is an optimized crystal structure of BeCu2SF, with properties calculated at the GGA-PBE level.

Geometry as CIF:
```
data_BeCu2SF
_chemical_formula_sum 'Be1 Cu2 S1 F1'
_symmetry_space_group_name_H-M 'P 4/m m m'
_symmetry_Int_Tables_number 123
_symmetry_space_group_name_Hall '-P 4 2'
_cell_length_a 3.758
_cell_length_b 3.758
_cell_length_c 5.513
_cell_angle_alpha 90.00
_cell_angle_beta 90.00
_cell_angle_gamma 90.00
loop_
_atom_site_label
_atom_site_fract_x
_atom_site_fract_y
_atom_site_fract_z
Be1 0.000 0.000 0.000
Cu1 0.000 0.500 0.500
S1 0.500 0.500 0.000
F1 0.500 0.500 0.500
```

calculated total energy: -3.29 eV per atom
energy relative to the elements, uncorrected: 28.2 kJ/mol of atoms

Below is an optimized crystal structure of CoIrSe2, with properties calculated at the GGA-PBE level.

Geometry as CIF:
```
data_CoIrSe2
_chemical_formula_sum 'Co2 Ir2 Se4'
_symmetry_space_group_name_H-M 'I m m 2'
_symmetry_Int_Tables_number 44
_cell_length_a 2.907
_cell_length_b 4.512
_cell_length_c 9.493
_cell_angle_alpha 90.00
_cell_angle_beta 90.00
_cell_angle_gamma 90.00
loop_
_symmetry_equiv_pos_as_xyz
'x,y,z'
'-x,-y,z'
'-x,y,z'
'x,-y,z'
'x+1/2,y+1/2,z+1/2'
'-x+1/2,-y+1/2,z+1/2'
'-x+1/2,y+1/2,z+1/2'
'x+1/2,-y+1/2,z+1/2'
loop_
_atom_site_label
_atom_site_fract_x
_atom_site_fract_y
_atom_site_fract_z
Co1 0.000 0.000 0.000
Ir1 0.000 0.500 0.249
Se1 0.000 0.000 0.514
Se2 0.000 0.500 0.717
```

energy relative to the lowest polymorph listed for this composition: 523.3 meV/atom
calculated total energy: -5.31 eV per atom
energy relative to the elements, uncorrected: 41.3 kJ/mol of atoms

Below is an optimized crystal structure of ScTaCo2, with properties calculated at the GGA-PBE level.

Geometry as CIF:
```
data_ScTaCo2
_chemical_formula_sum 'Sc2 Ta2 Co4'
_symmetry_space_group_name_H-M 'I m m 2'
_symmetry_Int_Tables_number 44
_cell_length_a 3.275
_cell_length_b 4.005
_cell_length_c 9.056
_cell_angle_alpha 90.00
_cell_angle_beta 90.00
_cell_angle_gamma 90.00
loop_
_symmetry_equiv_pos_as_xyz
'x,y,z'
'-x,-y,z'
'-x,y,z'
'x,-y,z'
'x+1/2,y+1/2,z+1/2'
'-x+1/2,-y+1/2,z+1/2'
'-x+1/2,y+1/2,z+1/2'
'x+1/2,-y+1/2,z+1/2'
loop_
_atom_site_label
_atom_site_fract_x
_atom_site_fract_y
_atom_site_fract_z
Sc1 0.000 0.000 0.000
Ta1 0.000 0.500 0.762
Co1 0.000 0.000 0.485
Co2 0.000 0.500 0.252
```

formation enthalpy at 0 K: -0.07 eV/atom
calculated total energy: -8.17 eV per atom

Below is an optimized crystal structure of Nd2Y3Ni2, with properties calculated at the GGA-PBE level.

Geometry as CIF:
```
data_Nd2Y3Ni2
_chemical_formula_sum 'Nd4 Y6 Ni4'
_symmetry_space_group_name_H-M 'C 1 2/m 1'
_symmetry_Int_Tables_number 12
_cell_length_a 12.396
_cell_length_b 3.631
_cell_length_c 9.148
_cell_angle_alpha 90.00
_cell_angle_beta 116.28
_cell_angle_gamma 90.00
loop_
_symmetry_equiv_pos_as_xyz
'x,y,z'
'-x,-y,-z'
'-x,y,-z'
'x,-y,z'
'x+1/2,y+1/2,z'
'-x+1/2,-y+1/2,-z'
'-x+1/2,y+1/2,-z'
'x+1/2,-y+1/2,z'
loop_
_atom_site_label
_atom_site_fract_x
_atom_site_fract_y
_atom_site_fract_z
Nd1 0.168 0.000 0.309
Y1 0.000 0.500 0.500
Y2 0.116 0.500 0.930
Ni1 0.170 0.000 0.739
```

formation enthalpy at 0 K: -0.22 eV/atom
calculated total energy: -6.01 eV per atom